1.
This record from Alexandria describes a relaxed structure of RbSm4Hg5. The functional is PBE.

The structure in POSCAR format:
```
RbSm4Hg5
1.0
3.823 0.000 0.000
0.000 3.823 0.000
0.000 0.000 20.212
Rb Sm Hg
1 4 5
direct
0.000 0.000 0.000
0.000 0.000 0.220
0.000 0.000 0.407
0.000 0.000 0.593
0.000 0.000 0.780
0.500 0.500 0.134
0.500 0.500 0.314
0.500 0.500 0.500
0.500 0.500 0.686
0.500 0.500 0.866
```

Crystal system: tetragonal
ρ, g/cm³: 9.501
Uncorrected energy, eV/atom: -2.5337


2.
This record from Alexandria describes a relaxed structure of MgBeW2. The functional is PBE.

The structure in POSCAR format:
```
MgBeW2
1.0
4.572 -1.346 0.000
4.572 1.346 0.000
-0.644 0.000 4.956
Mg Be W
1 1 2
direct
0.000 0.000 0.000
0.247 0.247 0.768
0.521 0.521 0.515
0.761 0.761 0.285
```

Crystal system: monoclinic
Offset from the most stable computed form, meV/atom: 153
ρ, g/cm³: 10.921


3.
This record from Alexandria describes a relaxed structure of AcDySnRh. The functional is PBE.

The structure in POSCAR format:
```
AcDySnRh
1.0
0.000 3.777 3.777
3.777 0.000 3.777
3.777 3.777 0.000
Ac Dy Sn Rh
1 1 1 1
direct
0.000 0.000 0.000
0.500 0.500 0.500
0.750 0.750 0.750
0.250 0.250 0.250
```

Crystal system: cubic
ρ, g/cm³: 9.416
Uncorrected energy, eV/atom: -5.5043


4.
This record from Alexandria describes a relaxed structure of NaMg2Ru. The functional is PBE.

The structure in POSCAR format:
```
NaMg2Ru
1.0
0.000 3.322 3.322
3.322 0.000 3.322
3.322 3.322 0.000
Na Mg Ru
1 2 1
direct
0.000 0.000 0.000
0.250 0.250 0.250
0.750 0.750 0.750
0.500 0.500 0.500
```

Crystal system: cubic
Offset from the most stable computed form, meV/atom: 141
ρ, g/cm³: 3.909


5.
This record from Alexandria describes a relaxed structure of FeRePt. The functional is PBE.

The structure in POSCAR format:
```
FeRePt
1.0
4.302 0.000 0.000
-2.151 3.726 0.000
0.000 0.000 2.635
Fe Re Pt
1 1 1
direct
0.000 0.000 0.000
0.333 0.667 0.502
0.667 0.333 0.002
```

Crystal system: trigonal
Offset from the most stable computed form, meV/atom: 48
ρ, g/cm³: 17.187


6.
This record from Alexandria describes a relaxed structure of Zn2InRu. The functional is PBE.

The structure in POSCAR format:
```
Zn2InRu
1.0
1.496 0.863 8.808
-1.496 0.863 8.808
0.000 -1.727 8.808
Zn In Ru
2 1 1
direct
0.242 0.242 0.242
0.758 0.758 0.758
0.000 0.000 0.000
0.500 0.500 0.500
```

Crystal system: trigonal
ρ, g/cm³: 8.436
Uncorrected energy, eV/atom: -3.4374


7.
This record from Alexandria describes a relaxed structure of La3Dy3Tm5. The functional is PBE.

The structure in POSCAR format:
```
La3Dy3Tm5
1.0
9.673 0.000 0.000
-4.837 8.377 0.000
0.000 0.000 5.324
La Dy Tm
3 3 5
direct
0.000 0.357 0.000
0.357 0.000 0.000
0.643 0.643 0.000
0.000 0.515 0.500
0.485 0.485 0.500
0.515 0.000 0.500
0.000 0.716 0.000
0.284 0.284 0.000
0.333 0.667 0.000
0.667 0.333 0.000
0.716 0.000 0.000
```

Crystal system: hexagonal
ρ, g/cm³: 6.731
Uncorrected energy, eV/atom: -3.8354


8.
This record from Alexandria describes a relaxed structure of PmNi2Pt3. The functional is PBE.

The structure in POSCAR format:
```
PmNi2Pt3
1.0
5.361 0.000 0.000
-2.680 4.643 0.000
0.000 0.000 4.076
Pm Ni Pt
1 2 3
direct
0.000 0.000 0.000
0.333 0.667 0.000
0.667 0.333 0.000
0.000 0.500 0.500
0.500 0.000 0.500
0.500 0.500 0.500
```

Crystal system: hexagonal
ρ, g/cm³: 13.874
Uncorrected energy, eV/atom: -6.3749


9.
This record from Alexandria describes a relaxed structure of ZrReTe2. The functional is PBE.

The structure in POSCAR format:
```
ZrReTe2
1.0
1.696 0.979 10.261
-1.696 0.979 10.261
0.000 -1.958 10.261
Zr Re Te
1 1 2
direct
0.000 0.000 0.000
0.737 0.737 0.737
0.262 0.262 0.262
0.464 0.464 0.464
```

Crystal system: trigonal
Energy relative to the elements, uncorrected, eV/atom: -0.017
Offset from the most stable computed form, meV/atom: 200
ρ, g/cm³: 8.650


10.
This record from Alexandria describes a relaxed structure of RbOs3C. The functional is PBE.

The structure in POSCAR format:
```
RbOs3C
1.0
4.825 0.000 0.000
0.000 4.825 0.000
0.000 0.000 4.825
Rb Os C
1 3 1
direct
0.000 0.000 0.000
0.000 0.000 0.500
0.000 0.500 0.000
0.500 0.000 0.000
0.500 0.500 0.500
```

Crystal system: cubic
Offset from the most stable computed form, meV/atom: 3781
ρ, g/cm³: 9.877


11.
This record from Alexandria describes a relaxed structure of Ca2LaPd. The functional is PBE.

The structure in POSCAR format:
```
Ca2LaPd
1.0
0.000 3.824 3.824
3.824 0.000 3.824
3.824 3.824 0.000
Ca La Pd
2 1 1
direct
0.250 0.250 0.250
0.750 0.750 0.750
0.000 0.000 0.000
0.500 0.500 0.500
```

Crystal system: cubic
Offset from the most stable computed form, meV/atom: 394
ρ, g/cm³: 4.832


12.
This record from Alexandria describes a relaxed structure of IrOs2Au. The functional is PBE.

The structure in POSCAR format:
```
IrOs2Au
1.0
2.782 0.000 0.000
0.000 3.868 0.000
0.000 0.000 5.653
Ir Os Au
1 2 1
direct
0.000 0.000 0.000
0.000 0.000 0.465
0.500 0.500 0.250
0.500 0.500 0.738
```

Crystal system: orthorhombic
Offset from the most stable computed form, meV/atom: 111
ρ, g/cm³: 21.010


13.
This record from Alexandria describes a relaxed structure of TlFeP2. The functional is PBE.

The structure in POSCAR format:
```
TlFeP2
1.0
-2.165 2.165 3.708
2.165 -2.165 3.708
2.165 2.165 -3.708
Tl Fe P
1 1 2
direct
0.000 0.000 0.000
0.500 0.500 0.000
0.250 0.750 0.500
0.750 0.250 0.500
```

Crystal system: tetragonal
Offset from the most stable computed form, meV/atom: 799
ρ, g/cm³: 7.699


14.
This record from Alexandria describes a relaxed structure of Th6Bi3Os. The functional is PBE.

The structure in POSCAR format:
```
Th6Bi3Os
1.0
11.535 0.000 0.000
0.000 4.077 0.000
-3.471 0.000 13.543
Th Bi Os
12 6 2
direct
0.025 0.250 0.333
0.053 0.250 0.900
0.280 0.750 0.335
0.292 0.750 0.753
0.409 0.250 0.573
0.414 0.750 0.133
0.586 0.250 0.867
0.591 0.750 0.427
0.708 0.250 0.247
0.720 0.250 0.665
0.947 0.750 0.100
0.975 0.750 0.667
0.159 0.750 0.520
0.176 0.250 0.148
0.341 0.250 0.941
0.659 0.750 0.059
0.824 0.750 0.852
0.841 0.250 0.480
0.467 0.250 0.292
0.533 0.750 0.708
```

Crystal system: monoclinic
ρ, g/cm³: 11.520
Uncorrected energy, eV/atom: -7.0458


15.
This record from Alexandria describes a relaxed structure of P3IrCl. The functional is PBE.

The structure in POSCAR format:
```
P3IrCl
1.0
4.376 0.000 0.000
0.000 4.376 0.000
0.000 0.000 4.376
P Ir Cl
3 1 1
direct
0.000 0.000 0.500
0.000 0.500 0.000
0.500 0.000 0.000
0.500 0.500 0.500
0.000 0.000 0.000
```

Crystal system: cubic
Energy relative to the elements, uncorrected, eV/atom: 1.640
Offset from the most stable computed form, meV/atom: 907
ρ, g/cm³: 6.352


16.
This record from Alexandria describes a relaxed structure of ZrCu2P. The functional is PBE.

The structure in POSCAR format:
```
ZrCu2P
1.0
3.560 0.000 0.000
0.000 3.473 0.000
-1.762 0.000 5.011
Zr Cu P
1 2 1
direct
0.000 0.000 0.000
0.312 0.500 0.625
0.733 0.000 0.467
0.575 0.500 0.150
```

Crystal system: monoclinic
ρ, g/cm³: 6.683
Uncorrected energy, eV/atom: -5.9596


17.
This record from Alexandria describes a relaxed structure of Sr3Tl. The functional is PBE.

The structure in POSCAR format:
```
Sr3Tl
1.0
-2.127 3.136 6.589
2.127 -3.136 6.589
2.127 3.136 -6.589
Sr Tl
3 1
direct
0.000 0.000 0.000
0.297 0.797 0.500
0.703 0.203 0.500
0.500 0.500 0.000
```

Crystal system: orthorhombic
ρ, g/cm³: 4.412
Uncorrected energy, eV/atom: -2.0359


18.
This record from Alexandria describes a relaxed structure of SmMgSc6. The functional is PBE.

The structure in POSCAR format:
```
SmMgSc6
1.0
4.687 0.000 0.000
0.000 4.687 0.000
0.000 0.000 9.236
Sm Mg Sc
1 1 6
direct
0.000 0.000 0.000
0.000 0.000 0.500
0.000 0.500 0.256
0.000 0.500 0.744
0.500 0.000 0.256
0.500 0.000 0.744
0.500 0.500 0.000
0.500 0.500 0.500
```

Crystal system: tetragonal
ρ, g/cm³: 3.637
Uncorrected energy, eV/atom: -5.4780


19.
This record from Alexandria describes a relaxed structure of Pm2AlCd16. The functional is PBE.

The structure in POSCAR format:
```
Pm2AlCd16
1.0
5.048 2.915 4.954
-5.048 2.915 4.954
0.000 -5.829 4.954
Pm Al Cd
2 1 16
direct
0.000 0.000 0.000
0.351 0.351 0.351
0.580 0.580 0.580
0.013 0.013 0.555
0.013 0.555 0.013
0.211 0.654 0.654
0.300 0.300 0.898
0.300 0.898 0.300
0.370 0.678 0.984
0.370 0.984 0.678
0.555 0.013 0.013
0.654 0.211 0.654
0.654 0.654 0.211
0.678 0.370 0.984
0.678 0.984 0.370
0.768 0.768 0.768
0.898 0.300 0.300
0.984 0.370 0.678
0.984 0.678 0.370
```

Crystal system: trigonal
ρ, g/cm³: 8.033
Uncorrected energy, eV/atom: -1.5970


20.
This record from Alexandria describes a relaxed structure of TeP2Au. The functional is PBE.

The structure in POSCAR format:
```
TeP2Au
1.0
1.929 1.114 6.203
-1.929 1.114 6.203
0.000 -2.228 6.203
Te P Au
1 2 1
direct
0.000 0.000 0.000
0.238 0.238 0.238
0.762 0.762 0.762
0.500 0.500 0.500
```

Crystal system: trigonal
Energy relative to the elements, uncorrected, eV/atom: 0.229
ρ, g/cm³: 8.024


21.
This record from Alexandria describes a relaxed structure of FeSiP2. The functional is PBE.

The structure in POSCAR format:
```
FeSiP2
1.0
3.757 -1.396 0.000
3.757 1.396 0.000
-0.092 0.000 6.123
Fe Si P
1 1 2
direct
0.000 0.000 0.000
0.278 0.278 0.860
0.556 0.556 0.684
0.703 0.703 0.190
```

Crystal system: monoclinic
Energy relative to the elements, uncorrected, eV/atom: 0.082
ρ, g/cm³: 3.772


22.
This record from Alexandria describes a relaxed structure of ReBiSeN2. The functional is PBE.

The structure in POSCAR format:
```
ReBiSeN2
1.0
4.176 0.000 0.000
0.000 4.176 0.000
0.000 0.000 6.015
Re Bi Se N
1 1 1 2
direct
0.000 0.000 0.000
0.500 0.500 0.500
0.500 0.500 0.000
0.000 0.500 0.500
0.500 0.000 0.500
```

Crystal system: tetragonal
Energy relative to the elements, uncorrected, eV/atom: 2.341
Offset from the most stable computed form, meV/atom: 1773
ρ, g/cm³: 7.950


23.
This record from Alexandria describes a relaxed structure of ThTi2NiN4. The functional is PBE.

The structure in POSCAR format:
```
ThTi2NiN4
1.0
1.606 -5.310 0.000
1.606 5.310 0.000
0.000 0.000 10.579
Th Ti Ni N
2 4 2 8
direct
0.105 0.895 0.750
0.895 0.105 0.250
0.368 0.632 0.551
0.368 0.632 0.949
0.632 0.368 0.051
0.632 0.368 0.449
0.160 0.840 0.250
0.840 0.160 0.750
0.000 0.000 0.000
0.000 0.000 0.500
0.273 0.727 0.109
0.273 0.727 0.391
0.441 0.559 0.750
0.559 0.441 0.250
0.727 0.273 0.609
0.727 0.273 0.891
```

Crystal system: orthorhombic
Energy relative to the elements, uncorrected, eV/atom: -1.232
ρ, g/cm³: 8.144


24.
This record from Alexandria describes a relaxed structure of Tm3Si2Ge. The functional is PBE.

The structure in POSCAR format:
```
Tm3Si2Ge
1.0
11.341 0.000 0.000
0.000 4.057 0.000
0.000 0.000 11.278
Tm Si Ge
12 8 4
direct
0.054 0.250 0.121
0.121 0.750 0.561
0.205 0.250 0.800
0.295 0.750 0.300
0.379 0.250 0.061
0.446 0.750 0.621
0.554 0.250 0.379
0.621 0.750 0.939
0.705 0.250 0.700
0.795 0.750 0.200
0.879 0.250 0.439
0.946 0.750 0.879
0.016 0.750 0.308
0.188 0.750 0.003
0.312 0.250 0.503
0.484 0.250 0.808
0.516 0.750 0.192
0.688 0.750 0.497
0.812 0.250 0.997
0.984 0.250 0.692
0.132 0.250 0.371
0.368 0.750 0.871
0.632 0.250 0.129
0.868 0.750 0.629
```

Crystal system: orthorhombic
Energy relative to the elements, uncorrected, eV/atom: -0.654
ρ, g/cm³: 8.137


25.
This record from Alexandria describes a relaxed structure of NaPdRuO4. The functional is PBE.

The structure in POSCAR format:
```
NaPdRuO4
1.0
-2.810 3.016 5.522
2.810 -3.016 5.522
2.810 3.016 -5.522
Na Pd Ru O
2 2 2 8
direct
0.415 0.165 0.250
0.585 0.835 0.750
0.000 0.000 0.500
0.000 0.500 0.000
0.000 0.500 0.500
0.500 0.500 0.000
0.156 0.684 0.471
0.266 0.297 0.532
0.266 0.734 0.968
0.287 0.316 0.971
0.713 0.684 0.029
0.734 0.266 0.032
0.734 0.703 0.468
0.844 0.316 0.529
```

Crystal system: orthorhombic
Energy relative to the elements, uncorrected, eV/atom: -0.885
ρ, g/cm³: 5.225